Entry from Alexandria: a relaxed structure of ErZrZnFe (PBE-GGA).

Total energy   -23.29 eV per cell
Symmetry   No. 216

a b c (Å): 4.7214 4.7214 4.7214
angles (deg): 60.00 60.00 60.00
Last column: nearest neighbours and their distance in Å.
Fractional coordinates of all 4 atoms:
1 Er 0.0000 0.0000 0.0000  4 Fe 2.89, 4 Zn 2.89
2 Zr 0.5000 0.5000 0.5000  4 Zn 2.89, 4 Fe 2.89
3 Zn 0.2500 0.2500 0.2500  4 Zr 2.89, 4 Er 2.89
4 Fe 0.7500 0.7500 0.7500  4 Zr 2.89, 4 Er 2.89

=====

Entry from Alexandria: a relaxed structure of Dy12Ho7Sc (PBE-GGA).

Energy relative to the lowest polymorph listed for this composition   0.0000 eV/atom
Total energy   -88.82 eV per cell
Symmetry   No. 148

a b c (Å): 8.6427 8.6427 8.6427
angles (deg): 86.53 86.53 86.53
Last column: nearest neighbours and their distance in Å.
Fractional coordinates of all 20 atoms:
1 Dy 0.1011 0.4216 0.3496  7 Dy 3.35-3.74, 3 Ho 3.52-3.75
2 Dy 0.2296 0.3505 0.7526  5 Ho 3.22-3.51, 2 Dy 3.50-3.53
3 Dy 0.2474 0.7704 0.6495  5 Ho 3.22-3.51, 2 Dy 3.50-3.53
4 Dy 0.3496 0.1011 0.4216  7 Dy 3.35-3.74, 3 Ho 3.52-3.75
5 Dy 0.3505 0.7526 0.2296  5 Ho 3.22-3.51, 2 Dy 3.50-3.53
6 Dy 0.4216 0.3496 0.1011  7 Dy 3.35-3.74, 3 Ho 3.52-3.75
7 Dy 0.5784 0.6504 0.8989  7 Dy 3.35-3.74, 3 Ho 3.52-3.75
8 Dy 0.6495 0.2475 0.7704  5 Ho 3.22-3.51, 2 Dy 3.50-3.53
9 Dy 0.6504 0.8989 0.5784  7 Dy 3.35-3.74, 3 Ho 3.52-3.75
10 Dy 0.7525 0.2296 0.3505  5 Ho 3.22-3.51, 2 Dy 3.50-3.53
11 Dy 0.7704 0.6495 0.2475  5 Ho 3.22-3.51, 2 Dy 3.50-3.53
12 Dy 0.8989 0.5784 0.6504  7 Dy 3.35-3.74, 3 Ho 3.52-3.75
13 Ho 0.0037 0.8952 0.3536  1 Sc 3.14, 1 Ho 3.20, 4 Dy 3.22-3.51
14 Ho 0.1048 0.6464 0.9963  1 Sc 3.14, 1 Ho 3.20, 4 Dy 3.22-3.51
15 Ho 0.3536 0.0037 0.8952  1 Sc 3.14, 1 Ho 3.20, 4 Dy 3.22-3.51
16 Ho 0.5000 0.5000 0.5000  6 Dy 3.36
17 Ho 0.6464 0.9963 0.1048  1 Sc 3.14, 1 Ho 3.20, 4 Dy 3.22-3.51
18 Ho 0.8952 0.3536 0.0037  1 Sc 3.14, 1 Ho 3.20, 4 Dy 3.22-3.51
19 Ho 0.9963 0.1048 0.6464  1 Sc 3.14, 1 Ho 3.20, 4 Dy 3.22-3.51
20 Sc 0.0000 0.0000 0.0000  6 Ho 3.14

=====

no.,magnetization (μB per formula unit),energy relative to the elements (eV per atom)
1,0.27,-0.110
2,0.00,0.239